No. 1
# PBE InGe2Bi2, optimized geometry
# **E_form**: 0.226 eV per atom
# **Offset from the most stable computed form**: 31 meV per atom
data_InGe2Bi2
_chemical_formula_sum 'In2 Ge4 Bi4'
_cell_length_a 4.476
_cell_length_b 4.476
_cell_length_c 14.891
_cell_angle_alpha 90.00
_cell_angle_beta 90.00
_cell_angle_gamma 90.00
_symmetry_space_group_name_H-M 'I 4/m m m'
_symmetry_Int_Tables_number 139
_symmetry_space_group_name_Hall '-I 4 2'
loop_
_atom_site_label
_atom_site_fract_x
_atom_site_fract_y
_atom_site_fract_z
In1 0.000 0.000 0.000
Ge1 0.000 0.500 0.250
Bi1 0.000 0.000 0.383



No. 2
# PBE In2GeBi, optimized geometry
# **E_form**: 0.136 eV per atom
# **Offset from the most stable computed form**: 2 meV per atom
data_In2GeBi
_chemical_formula_sum 'In8 Ge4 Bi4'
_cell_length_a 6.575
_cell_length_b 6.575
_cell_length_c 12.800
_cell_angle_alpha 90.00
_cell_angle_beta 90.00
_cell_angle_gamma 90.00
_symmetry_space_group_name_H-M 'I -4 2 d'
_symmetry_Int_Tables_number 122
_symmetry_space_group_name_Hall 'I -4 2bw'
loop_
_atom_site_label
_atom_site_fract_x
_atom_site_fract_y
_atom_site_fract_z
In1 0.212 0.250 0.125
Ge1 0.000 0.000 0.000
Bi1 0.000 0.000 0.500



| no. | V (Å³ per cell) |
| --- | --- |
| 1 | 298.38 |
| 2 | 553.31 |